VASP calculation (PBE) on an optimized crystal structure of YBe3Ir3.

The value obtained for the density of states at the Fermi level is 2.2 states/eV per cell. The energy comes out at -6.42 eV per atom. The calculation puts the energy relative to the elements at -0.743 eV per formula unit. As for the space-group type: Pm-3n.

Lattice parameters (Å, degrees): 6.054 6.054 6.054 90.00 90.00 90.00
Fractional coordinates of all 14 atoms:
1 Y 0.500 0.500 0.500
2 Y 0.000 0.000 0.000
3 Be 0.000 0.250 0.500
4 Be 0.000 0.750 0.500
5 Be 0.500 0.000 0.750
6 Be 0.750 0.500 0.000
7 Be 0.500 0.000 0.250
8 Be 0.250 0.500 0.000
9 Ir 0.250 0.000 0.500
10 Ir 0.000 0.500 0.250
11 Ir 0.500 0.750 0.000
12 Ir 0.750 0.000 0.500
13 Ir 0.000 0.500 0.750
14 Ir 0.500 0.250 0.000